GdAl2Si2: relaxed, GGA-PBE.

Properties
* theoretical density: 4.36 g/cm3
* E_form (uncorrected): -391 meV per atom
* Fermi-level density of states: 2.44 states/eV/f.u.

extended XYZ file:
```
5
Lattice="4.2041 0.0000 0.0000 -2.1021 3.6409 0.0000 0.0000 0.0000 6.6486" Properties=species:S:1:pos:R:3 pbc="T T T"
Gd 0.0000 0.0000 0.0000
Al 2.1021 1.2136 2.3729
Al 0.0000 2.4272 4.2757
Si 2.1021 1.2136 4.9175
Si 0.0000 2.4272 1.7311
```


Cd2Ga2Bi: relaxed, GGA-PBE.

Properties
* theoretical density: 7.94 g/cm3
* energy of formation: 0.09 eV/atom
* energy above the lowest structure with this stoichiometry: 0.00 eV per formula unit
* Fermi-level density of states: 2.40 states/eV/f.u.

extended XYZ file:
```
10
Lattice="8.3230 0.0000 0.0000 0.0000 8.3230 0.0000 0.0000 0.0000 3.4606" Properties=species:S:1:pos:R:3 pbc="T T T"
Bi 0.0000 0.0000 0.0000
Bi 4.1615 4.1615 0.0000
Ga 1.3947 5.5562 1.7303
Ga 5.5562 6.9283 1.7303
Ga 6.9283 2.7668 1.7303
Ga 2.7668 1.3947 1.7303
Cd 3.0784 7.2399 0.0000
Cd 7.2399 5.2446 0.0000
Cd 5.2446 1.0831 0.0000
Cd 1.0831 3.0784 0.0000
```


GdY2Ti: relaxed, GGA-PBE.

Properties
* theoretical density: 5.65 g/cm3
* energy of formation: 0.17 eV/atom
* Fermi-level density of states: 6.60 states/eV/f.u.

extended XYZ file:
```
4
Lattice="-2.9395 -1.5557 0.7560 -0.1351 -1.2798 -3.1586 4.8928 -7.8092 2.9548" Properties=species:S:1:pos:R:3 pbc="T T T"
Y 3.8360 -6.1225 2.3166
Y 1.0568 -1.6867 0.6382
Gd 0.9091 -5.3223 0.2761
Ti -1.5373 -1.4177 -1.2013
```


TbSmC: relaxed, GGA-PBE.

Properties
* theoretical density: 7.35 g/cm3
* energy of formation: -0.21 eV/atom
* energy above the lowest structure with this stoichiometry: 0.00 eV per formula unit
* Fermi-level density of states: 2.30 states/eV/f.u.

extended XYZ file:
```
6
Lattice="-1.3484 2.2526 2.5082 -5.6884 -0.4667 -2.6390 0.2717 -6.0130 2.9183" Properties=species:S:1:pos:R:3 pbc="T T T"
Tb -5.0221 -1.4386 -1.4079
Tb -1.7431 -2.7885 4.1954
Sm -3.9012 -4.1004 1.5853
Sm -2.8641 -0.1268 1.2022
C -2.8442 -0.2334 -1.3195
C -0.6742 1.1263 1.2541
```


ZrZnTe4: relaxed, GGA-PBE.

Properties
* theoretical density: 6.34 g/cm3
* E_form (uncorrected): 556 meV per atom
* Fermi-level density of states: 5.49 states/eV/f.u.

extended XYZ file:
```
6
Lattice="0.0000 4.4375 4.4375 4.4375 0.0000 4.4375 4.4375 4.4375 0.0000" Properties=species:S:1:pos:R:3 pbc="T T T"
Zr 0.0000 0.0000 0.0000
Zn 6.6562 6.6562 6.6562
Te 3.3228 5.5521 5.5521
Te 5.5521 5.5521 3.3228
Te 5.5521 3.3228 5.5521
Te 3.3228 3.3228 3.3228
```


DyHoPa: relaxed, GGA-PBE.

Properties
* theoretical density: 10.77 g/cm3
* energy of formation: 0.12 eV/atom
* energy above the lowest structure with this stoichiometry: 0.00 eV per formula unit
* Fermi-level density of states: 4.38 states/eV/f.u.

extended XYZ file:
```
3
Lattice="3.4175 0.0000 0.0000 -1.7087 2.9596 0.0000 0.0000 0.0000 8.5106" Properties=species:S:1:pos:R:3 pbc="T T T"
Pa 0.0000 0.0000 0.0032
Ho 1.7087 0.9865 2.7233
Dy 0.0000 1.9731 5.7840
```


Y4MnFe8: relaxed, GGA-PBE.

Properties
* theoretical density: 6.09 g/cm3
* energy of formation: 0.28 eV/atom
* Fermi-level density of states: 16.26 states/eV/f.u.

extended XYZ file:
```
13
Lattice="-6.2873 2.3949 1.1205 -1.3532 -6.3554 2.0734 5.1369 3.2352 3.1091" Properties=species:S:1:pos:R:3 pbc="T T T"
Y 2.5685 1.6176 1.5546
Y -1.2517 -0.3627 3.1515
Y -0.6766 -3.1777 1.0367
Y -3.1436 1.1975 0.5603
Mn 0.0000 0.0000 0.0000
Fe 2.5561 -2.1078 3.5009
Fe 1.2277 -1.0124 1.6815
Fe -0.7771 3.8033 2.8573
Fe -0.3732 1.8268 1.3724
Fe -2.9537 -2.6948 2.7838
Fe 0.4502 1.9695 3.5192
Fe -4.0837 -0.6909 2.5656
Fe 1.5802 -0.0345 3.7374
```


LiS2NO: relaxed, GGA-PBE.

Properties
* theoretical density: 2.56 g/cm3
* E_form (uncorrected): 1696 meV per atom
* energy above the lowest structure with this stoichiometry: 2.94 eV per formula unit
* Fermi-level density of states: 4.84 states/eV/f.u.

extended XYZ file:
```
5
Lattice="4.3322 0.0000 0.0000 0.0000 4.3322 0.0000 0.0000 0.0000 3.4900" Properties=species:S:1:pos:R:3 pbc="T T T"
S 0.0000 2.1661 0.0000
S 2.1661 0.0000 0.0000
Li 0.0000 0.0000 0.0000
O 2.1661 2.1661 1.7450
N 0.0000 0.0000 1.7450
```


LaMgAl2Ni: relaxed, GGA-PBE.

Properties
* theoretical density: 4.53 g/cm3
* energy of formation: -0.35 eV/atom
* Fermi-level density of states: 3.31 states/eV/f.u.

extended XYZ file:
```
5
Lattice="-4.3428 -1.1183 1.0681 1.3308 -1.0805 4.2793 -0.8129 4.4781 1.3834" Properties=species:S:1:pos:R:3 pbc="T T T"
Ni 0.0000 0.0000 0.0000
Mg -0.4064 2.2390 0.6917
Al 0.6654 -0.5402 2.1397
Al -2.1714 -0.5591 0.5341
La -1.9124 1.1396 3.3655
```


Ce2YPtN4: relaxed, GGA-PBE.

Properties
* theoretical density: 8.56 g/cm3
* E_form (uncorrected): -972 meV per atom
* Fermi-level density of states: 3.62 states/eV/f.u.

extended XYZ file:
```
16
Lattice="3.4345 0.0000 0.0000 -1.7172 5.8826 0.0000 0.0000 0.0000 11.9104" Properties=species:S:1:pos:R:3 pbc="T T T"
Ce 0.0000 4.3694 6.5954
Ce 1.7172 1.5132 0.6402
Ce 1.7172 1.5132 5.3150
Ce 0.0000 4.3694 11.2702
Y 0.0000 1.3707 8.9328
Y 1.7172 4.5119 2.9776
Pt 1.7172 4.1449 8.9328
Pt 0.0000 1.7376 2.9776
N 0.0000 3.2503 1.4118
N 1.7172 2.6323 7.3670
N 1.7172 2.6323 10.4987
N 0.0000 3.2503 4.5434
N 0.0000 0.0000 5.9552
N 0.0000 0.0000 0.0000
N 0.0000 5.4677 8.9328
N 1.7172 0.4148 2.9776
```


Dy2Tm3Zr2: relaxed, GGA-PBE.

Properties
* theoretical density: 8.46 g/cm3
* energy of formation: 0.04 eV/atom
* Fermi-level density of states: 9.99 states/eV/f.u.

extended XYZ file:
```
7
Lattice="5.1047 0.0000 0.6774 0.0000 3.3774 0.0000 1.0456 0.0000 11.6920" Properties=species:S:1:pos:R:3 pbc="T T T"
Dy 3.8295 1.6887 10.2858
Dy 2.3208 1.6887 2.0837
Tm 4.6323 0.0000 4.2368
Tm 0.0000 0.0000 0.0000
Tm 1.5180 0.0000 8.1326
Zr 4.2628 1.6887 7.0212
Zr 1.8875 1.6887 5.3483
```


Ac2LaTbNd4: relaxed, GGA-PBE.

Properties
* theoretical density: 7.36 g/cm3
* energy of formation: 0.04 eV/atom
* Fermi-level density of states: 13.60 states/eV/f.u.

extended XYZ file:
```
8
Lattice="3.7768 0.0000 0.0000 0.0001 12.2364 -1.9546 0.0000 2.1767 6.1399" Properties=species:S:1:pos:R:3 pbc="T T T"
Ac 0.0000 2.1767 6.1398
Ac 1.8884 1.0884 3.0699
La 1.8884 6.1182 -0.9773
Tb 0.0000 7.2065 2.0927
Nd 0.0001 10.7416 3.1597
Nd 3.7768 3.6716 1.0255
Nd 1.8885 9.6385 0.1084
Nd 1.8884 4.7746 4.0768
```


- Look up the Fermi-level density of states of the eleventh one.
  9.99 states/eV/f.u.


- The highest theoretical density belongs to which entry?
  DyHoPa


- theoretical density of number 12 (Ac2LaTbNd4)?
  7.36 g/cm3


- Which formula does entry 12 have?
  Ac2LaTbNd4